Record 1
Crystalline TaPPb2 at its relaxed geometry. Source: the Alexandria database, functional PBE.

Formation energy   0.73 eV/atom
Symmetry   Cmmm, No. 65

a = 3.273 Å, b = 3.273 Å, c = 8.753 Å
α = 90.00°, β = 90.00°, γ = 106.96°
Sites, in units of the cell vectors:
Ta  0.000  0.000  0.000
P  0.000  0.000  0.500
Pb  0.500  0.500  0.258
Pb  0.500  0.500  0.742

Record 2
Crystalline Ta2PPb at its relaxed geometry. Source: the Alexandria database, functional PBE.

Formation energy   0.37 eV/atom
Excess energy over the best structure of this formula in the dataset   502 meV/atom
Symmetry   Fm-3m, No. 225

a = 4.681 Å, b = 4.681 Å, c = 4.681 Å
α = 60.00°, β = 60.00°, γ = 60.00°
Sites, in units of the cell vectors:
Ta  0.250  0.250  0.250
Ta  0.750  0.750  0.750
P  0.000  0.000  0.000
Pb  0.500  0.500  0.500

Record 3
Crystalline TaPPb2 at its relaxed geometry. Source: the Alexandria database, functional PBE.

Formation energy   0.81 eV/atom
Symmetry   F-43m, No. 216

a = 5.048 Å, b = 5.048 Å, c = 5.048 Å
α = 60.00°, β = 60.00°, γ = 60.00°
Sites, in units of the cell vectors:
Ta  0.000  0.000  0.000
P  0.250  0.250  0.250
Pb  0.500  0.500  0.500
Pb  0.750  0.750  0.750

Record 4
Crystalline TaPPb2 at its relaxed geometry. Source: the Alexandria database, functional PBE.

Formation energy   0.73 eV/atom
Symmetry   C2/m, No. 12

a = 5.871 Å, b = 5.871 Å, c = 3.135 Å
α = 102.69°, β = 102.69°, γ = 113.18°
Sites, in units of the cell vectors:
Ta  0.000  0.000  0.000
P  0.500  0.500  0.000
Pb  0.000  0.500  0.500
Pb  0.500  0.000  0.500

Record 5
Crystalline Ta2PPb at its relaxed geometry. Source: the Alexandria database, functional PBE.

Formation energy   -0.02 eV/atom
Excess energy over the best structure of this formula in the dataset   116 meV/atom
Symmetry   P4/mmm, No. 123

a = 3.167 Å, b = 3.167 Å, c = 7.442 Å
α = 90.00°, β = 90.00°, γ = 90.00°
Sites, in units of the cell vectors:
Ta  0.000  0.000  0.186
Ta  0.000  0.000  0.814
P  0.500  0.500  0.000
Pb  0.500  0.500  0.500

Record 6
Crystalline TaPPb at its relaxed geometry. Source: the Alexandria database, functional PBE.

Formation energy   0.15 eV/atom
Excess energy over the best structure of this formula in the dataset   243 meV/atom
Symmetry   Fmm2, No. 42

a = 7.601 Å, b = 7.417 Å, c = 3.121 Å
α = 81.34°, β = 74.71°, γ = 23.94°
Sites, in units of the cell vectors:
Ta  0.000  0.000  0.000
P  0.391  0.391  0.609
Pb  0.675  0.675  0.325

Record 7
Crystalline Ta2PPb at its relaxed geometry. Source: the Alexandria database, functional PBE.

Formation energy   0.12 eV/atom
Excess energy over the best structure of this formula in the dataset   253 meV/atom
Symmetry   Cm, No. 8

a = 4.756 Å, b = 4.756 Å, c = 5.728 Å
α = 113.30°, β = 113.30°, γ = 43.78°
Sites, in units of the cell vectors:
Ta  0.000  0.000  0.000
Ta  0.231  0.231  0.695
P  0.537  0.537  0.733
Pb  0.805  0.805  0.296

Record 8
Crystalline TaPPb2 at its relaxed geometry. Source: the Alexandria database, functional PBE.

Formation energy   0.25 eV/atom
Symmetry   Cm, No. 8

a = 5.898 Å, b = 5.898 Å, c = 5.278 Å
α = 106.03°, β = 106.03°, γ = 32.40°
Sites, in units of the cell vectors:
Ta  0.000  0.000  0.000
P  0.353  0.353  0.742
Pb  0.561  0.561  0.528
Pb  0.756  0.756  0.146

Record 9
Crystalline TaPPb at its relaxed geometry. Source: the Alexandria database, functional PBE.

Formation energy   0.74 eV/atom
Excess energy over the best structure of this formula in the dataset   837 meV/atom
Symmetry   F-43m, No. 216

a = 4.599 Å, b = 4.599 Å, c = 4.599 Å
α = 60.00°, β = 60.00°, γ = 60.00°
Sites, in units of the cell vectors:
Ta  0.000  0.000  0.000
P  0.250  0.250  0.250
Pb  0.750  0.750  0.750

Record 10
Crystalline Ta2PPb at its relaxed geometry. Source: the Alexandria database, functional PBE.

Formation energy   0.13 eV/atom
Excess energy over the best structure of this formula in the dataset   261 meV/atom
Symmetry   R3m, No. 160

a = 9.028 Å, b = 9.028 Å, c = 9.028 Å
α = 20.91°, β = 20.91°, γ = 20.91°
Sites, in units of the cell vectors:
Ta  0.000  0.000  0.000
Ta  0.254  0.254  0.254
P  0.525  0.525  0.525
Pb  0.761  0.761  0.761

Record 11
Crystalline TaPPb2 at its relaxed geometry. Source: the Alexandria database, functional PBE.

Formation energy   1.17 eV/atom
Symmetry   I-42d, No. 122

a = 7.716 Å, b = 7.716 Å, c = 7.716 Å
α = 130.32°, β = 130.32°, γ = 72.89°
Sites, in units of the cell vectors:
Ta  0.000  0.000  0.000
Ta  0.750  0.250  0.500
P  0.250  0.750  0.500
P  0.500  0.500  0.000
Pb  0.136  0.625  0.011
Pb  0.375  0.386  0.511
Pb  0.614  0.125  0.989
Pb  0.875  0.864  0.489

Record 12
Crystalline Ta2PPb at its relaxed geometry. Source: the Alexandria database, functional PBE.

Formation energy   0.45 eV/atom
Excess energy over the best structure of this formula in the dataset   586 meV/atom
Symmetry   Pmmm, No. 47

a = 3.446 Å, b = 4.386 Å, c = 4.982 Å
α = 90.00°, β = 90.00°, γ = 90.00°
Sites, in units of the cell vectors:
Ta  0.000  0.000  0.000
Ta  0.500  0.000  0.500
P  0.000  0.500  0.500
Pb  0.500  0.500  0.000

Record 13
Crystalline TaPPb2 at its relaxed geometry. Source: the Alexandria database, functional PBE.

Formation energy   0.76 eV/atom
Symmetry   P4/mmm, No. 123

a = 3.229 Å, b = 3.229 Å, c = 8.626 Å
α = 90.00°, β = 90.00°, γ = 90.00°
Sites, in units of the cell vectors:
Ta  0.000  0.000  0.000
P  0.000  0.000  0.500
Pb  0.500  0.500  0.258
Pb  0.500  0.500  0.742

Record 14
Crystalline TaPPb2 at its relaxed geometry. Source: the Alexandria database, functional PBE.

Formation energy   0.73 eV/atom
Symmetry   R-3m, No. 166

a = 10.605 Å, b = 10.605 Å, c = 10.605 Å
α = 17.27°, β = 17.27°, γ = 17.27°
Sites, in units of the cell vectors:
Ta  0.000  0.000  0.000
P  0.500  0.500  0.500
Pb  0.251  0.251  0.251
Pb  0.749  0.749  0.749

Record 15
Crystalline TaPPb at its relaxed geometry. Source: the Alexandria database, functional PBE.

Formation energy   0.10 eV/atom
Excess energy over the best structure of this formula in the dataset   199 meV/atom
Symmetry   P-6m2, No. 187

a = 4.300 Å, b = 4.300 Å, c = 3.910 Å
α = 90.00°, β = 90.00°, γ = 120.00°
Sites, in units of the cell vectors:
Ta  0.000  0.000  0.000
P  0.667  0.333  0.000
Pb  0.333  0.667  0.500

Record 16
Crystalline TaPPb2 at its relaxed geometry. Source: the Alexandria database, functional PBE.

Formation energy   0.74 eV/atom
Symmetry   Pmmm, No. 47

a = 3.555 Å, b = 4.987 Å, c = 5.013 Å
α = 90.00°, β = 90.00°, γ = 90.00°
Sites, in units of the cell vectors:
Ta  0.000  0.000  0.000
P  0.500  0.000  0.500
Pb  0.000  0.500  0.500
Pb  0.500  0.500  0.000

Record 17
Crystalline TaPPb2 at its relaxed geometry. Source: the Alexandria database, functional PBE.

Formation energy   0.02 eV/atom
Symmetry   R3m, No. 160

a = 9.879 Å, b = 9.879 Å, c = 9.879 Å
α = 19.85°, β = 19.85°, γ = 19.85°
Sites, in units of the cell vectors:
Ta  0.000  0.000  0.000
P  0.716  0.716  0.716
Pb  0.248  0.248  0.248
Pb  0.474  0.474  0.474

Record 18
Crystalline Tb4PPb2 at its relaxed geometry. Source: the Alexandria database, functional PBE.

Formation energy   -0.66 eV/atom
Excess energy over the best structure of this formula in the dataset   0 meV/atom
Symmetry   I4/mmm, No. 139

a = 8.908 Å, b = 8.908 Å, c = 8.908 Å
α = 146.33°, β = 146.33°, γ = 48.35°
Sites, in units of the cell vectors:
Tb  0.000  0.500  0.500
Tb  0.168  0.168  0.000
Tb  0.500  0.000  0.500
Tb  0.832  0.832  0.000
P  0.000  0.000  0.000
Pb  0.363  0.363  0.000
Pb  0.637  0.637  0.000

Record 19
Crystalline Tb4PPb2 at its relaxed geometry. Source: the Alexandria database, functional PBE.

Formation energy   -0.62 eV/atom
Excess energy over the best structure of this formula in the dataset   37 meV/atom
Symmetry   P2_1/m, No. 11

a = 6.654 Å, b = 6.570 Å, c = 9.692 Å
α = 90.00°, β = 108.92°, γ = 90.00°
Sites, in units of the cell vectors:
Tb  0.166  0.250  0.081
Tb  0.259  0.002  0.753
Tb  0.259  0.498  0.753
Tb  0.305  0.750  0.370
Tb  0.695  0.250  0.630
Tb  0.741  0.502  0.247
Tb  0.741  0.998  0.247
Tb  0.834  0.750  0.919
P  0.486  0.250  0.341
P  0.514  0.750  0.659
Pb  0.142  0.250  0.449
Pb  0.339  0.750  0.049
Pb  0.661  0.250  0.951
Pb  0.858  0.750  0.551

Record 20
Crystalline TbP2Pb at its relaxed geometry. Source: the Alexandria database, functional PBE.

Formation energy   -0.58 eV/atom
Symmetry   R-3m, No. 166

a = 7.271 Å, b = 7.271 Å, c = 7.271 Å
α = 32.51°, β = 32.51°, γ = 32.51°
Sites, in units of the cell vectors:
Tb  0.000  0.000  0.000
P  0.257  0.257  0.257
P  0.743  0.743  0.743
Pb  0.500  0.500  0.500

Record 21
Crystalline Tb3PPb at its relaxed geometry. Source: the Alexandria database, functional PBE.

Formation energy   -0.91 eV/atom
Excess energy over the best structure of this formula in the dataset   0 meV/atom
Symmetry   Pnma, No. 62

a = 8.677 Å, b = 4.200 Å, c = 14.966 Å
α = 90.00°, β = 90.00°, γ = 90.00°
Sites, in units of the cell vectors:
Tb  0.023  0.250  0.108
Tb  0.162  0.250  0.515
Tb  0.190  0.750  0.285
Tb  0.310  0.250  0.785
Tb  0.338  0.750  0.015
Tb  0.477  0.750  0.608
Tb  0.523  0.250  0.392
Tb  0.662  0.250  0.985
Tb  0.690  0.750  0.215
Tb  0.810  0.250  0.715
Tb  0.838  0.750  0.485
Tb  0.977  0.750  0.892
P  0.169  0.250  0.944
P  0.331  0.750  0.444
P  0.669  0.250  0.556
P  0.831  0.750  0.056
Pb  0.089  0.750  0.676
Pb  0.411  0.250  0.176
Pb  0.589  0.750  0.824
Pb  0.911  0.250  0.324

Record 22
Crystalline Tb3PPb at its relaxed geometry. Source: the Alexandria database, functional PBE.

Formation energy   -0.74 eV/atom
Excess energy over the best structure of this formula in the dataset   175 meV/atom
Symmetry   Pm-3m, No. 221

a = 5.280 Å, b = 5.280 Å, c = 5.280 Å
α = 90.00°, β = 90.00°, γ = 90.00°
Sites, in units of the cell vectors:
Tb  0.000  0.000  0.500
Tb  0.000  0.500  0.000
Tb  0.500  0.000  0.000
P  0.000  0.000  0.000
Pb  0.500  0.500  0.500

Record 23
Crystalline Tb6Te3P2Pb at its relaxed geometry. Source: the Alexandria database, functional PBE.

Energy relative to the elements, uncorrected   -1.3378 eV/atom
Symmetry   C2/m, No. 12

a = 9.617 Å, b = 9.617 Å, c = 8.694 Å
α = 104.03°, β = 104.03°, γ = 25.32°
Sites, in units of the cell vectors:
Tb  0.013  0.013  0.255
Tb  0.323  0.323  0.435
Tb  0.331  0.331  0.883
Tb  0.669  0.669  0.117
Tb  0.677  0.677  0.565
Tb  0.987  0.987  0.745
Te  0.163  0.163  0.833
Te  0.500  0.500  0.500
Te  0.837  0.837  0.167
P  0.169  0.169  0.339
P  0.831  0.831  0.661
Pb  0.500  0.500  0.000

Record 24
Crystalline Tb2Tm2PPb2 at its relaxed geometry. Source: the Alexandria database, functional PBE.

Formation energy   -0.69 eV/atom
Symmetry   I4/mmm, No. 139

a = 8.865 Å, b = 8.865 Å, c = 8.865 Å
α = 146.82°, β = 146.82°, γ = 47.63°
Sites, in units of the cell vectors:
Tb  0.168  0.168  0.000
Tb  0.832  0.832  0.000
Tm  0.000  0.500  0.500
Tm  0.500  0.000  0.500
P  0.000  0.000  0.000
Pb  0.364  0.364  0.000
Pb  0.636  0.636  0.000

Record 25
Crystalline TcPPb2 at its relaxed geometry. Source: the Alexandria database, functional PBE.

Formation energy   -0.04 eV/atom
Symmetry   R3m, No. 160

a = 7.688 Å, b = 7.688 Å, c = 7.688 Å
α = 29.64°, β = 29.64°, γ = 29.64°
Sites, in units of the cell vectors:
Tc  0.000  0.000  0.000
P  0.336  0.336  0.336
Pb  0.568  0.568  0.568
Pb  0.767  0.767  0.767

Record 26
Crystalline TcPPb2 at its relaxed geometry. Source: the Alexandria database, functional PBE.

Formation energy   0.20 eV/atom
Symmetry   Pm, No. 6

a = 4.946 Å, b = 3.389 Å, c = 5.574 Å
α = 90.00°, β = 109.95°, γ = 90.00°
Sites, in units of the cell vectors:
Tc  0.000  0.000  0.000
P  0.235  0.500  0.276
Pb  0.440  0.500  0.838
Pb  0.805  0.000  0.443

Record 27
Crystalline Tc2PPb at its relaxed geometry. Source: the Alexandria database, functional PBE.

Formation energy   0.74 eV/atom
Excess energy over the best structure of this formula in the dataset   735 meV/atom
Symmetry   C2/m, No. 12

a = 5.197 Å, b = 5.197 Å, c = 3.084 Å
α = 106.58°, β = 106.58°, γ = 108.27°
Sites, in units of the cell vectors:
Tc  0.000  0.500  0.000
Tc  0.500  0.000  0.000
P  0.000  0.000  0.500
Pb  0.500  0.500  0.500

Record 28
Crystalline Tc2PPb at its relaxed geometry. Source: the Alexandria database, functional PBE.

Formation energy   0.48 eV/atom
Excess energy over the best structure of this formula in the dataset   471 meV/atom
Symmetry   I-42d, No. 122

a = 9.105 Å, b = 9.105 Å, c = 9.105 Å
α = 152.93°, β = 152.93°, γ = 38.66°
Sites, in units of the cell vectors:
Tc  0.020  0.625  0.895
Tc  0.375  0.270  0.395
Tc  0.730  0.125  0.105
Tc  0.875  0.980  0.605
P  0.000  0.000  0.000
P  0.750  0.250  0.500
Pb  0.250  0.750  0.500
Pb  0.500  0.500  0.000